[1]
Entry from Alexandria: a geometry-optimized Pm2Sm3ErTe6 structure (PBE-GGA).

raw formation energy = -1.364 eV/atom

```
Pm2Sm3ErTe6
1.0
4.405 0.000 0.000
0.000 8.903 0.358
-2.203 -2.524 9.318
Pm Sm Er Te
2 3 1 6
Cartesian
2.203 4.242 6.385 Pm
0.000 2.136 3.292 Pm
2.203 4.451 0.179 Sm
2.203 -0.177 6.166 Sm
0.000 6.556 3.511 Sm
2.203 0.000 0.000 Er
0.000 6.490 6.644 Te
2.203 4.365 3.273 Te
2.203 -0.111 3.033 Te
2.203 -0.366 9.378 Te
0.000 6.744 0.298 Te
0.000 2.014 6.403 Te
```


[2]
Entry from Alexandria: a geometry-optimized ScNb2PSe structure (PBE-GGA).

raw formation energy = 0.517 eV/atom

```
ScNb2PSe
1.0
4.725 0.000 0.000
0.000 4.958 0.000
0.000 0.000 4.725
Sc P Nb Se
1 1 2 1
Cartesian
0.000 2.479 0.000 Sc
2.362 2.479 2.362 P
0.000 0.000 2.362 Nb
2.362 0.000 0.000 Nb
0.000 0.000 0.000 Se
```


[3]
Entry from Alexandria: a geometry-optimized TlIn2RhI structure (PBE-GGA).

raw formation energy = -0.321 eV/atom

```
TlIn2RhI
1.0
5.269 0.000 0.000
0.000 5.269 0.000
0.000 0.000 5.397
I Tl Rh In
1 1 1 2
Cartesian
2.635 2.635 2.698 I
0.000 0.000 2.698 Tl
0.000 0.000 0.000 Rh
0.000 2.635 0.000 In
2.635 0.000 0.000 In
```


[4]
Entry from Alexandria: a geometry-optimized TiMnZnOs structure (PBE-GGA).

E_form = -0.16 eV/atom

```
TiMnZnOs
1.0
-2.465 -3.042 -1.820
1.232 -4.136 0.124
-2.137 -2.816 2.480
Zn Mn Os Ti
1 1 1 1
Cartesian
-2.528 -7.496 0.588 Zn
0.000 0.000 0.000 Mn
-1.685 -4.997 0.392 Os
-0.843 -2.499 0.196 Ti
```


[5]
Entry from Alexandria: a geometry-optimized ScGeOs2 structure (PBE-GGA).

E_form = 0.39 eV/atom

```
ScGeOs2
1.0
-1.013 7.223 -0.613
0.053 -0.612 -7.294
-3.097 2.939 -3.942
Sc Ge Os
2 2 4
Cartesian
-0.480 3.306 -3.954 Sc
-1.762 2.817 -7.595 Sc
0.000 0.000 0.000 Ge
-2.295 6.734 -4.254 Ge
-1.464 5.620 -2.318 Os
-0.805 0.808 -5.583 Os
-2.686 4.722 -5.470 Os
-3.160 7.951 -10.327 Os
```


[6]
Entry from Alexandria: a geometry-optimized KNF4 structure (PBE-GGA).

raw formation energy = -0.746 eV/atom
ΔE to the lowest computed polymorph = 0.3476 eV/atom

```
KNF4
1.0
4.758 0.000 0.000
-2.379 4.796 -1.358
0.000 0.294 8.069
K N F
2 2 8
Cartesian
1.095 0.073 2.017 K
3.663 0.220 6.052 K
1.190 2.398 -0.679 N
-1.190 2.545 3.356 N
-0.010 2.286 0.415 F
2.369 2.657 2.261 F
2.389 2.804 6.296 F
0.010 2.433 4.450 F
-1.093 4.191 3.409 F
1.286 1.045 7.337 F
3.472 0.898 3.303 F
1.093 4.044 -0.626 F
```


Which DFT total energy belongs to each record? In order, -63.442; -32.781; -18.351; -30.193; -63.662; -42.767 eV for the cell shown.